Here is a relaxed Ce6InCo2 crystal from Alexandria. Energies are from PBE.

CIF file:
```
data_Ce6InCo2
_symmetry_space_group_name_H-M 'C 1 2/m 1'
_symmetry_Int_Tables_number 12
_cell_length_a 10.679
_cell_length_b 4.512
_cell_length_c 8.701
_cell_angle_alpha 90.00
_cell_angle_beta 91.73
_cell_angle_gamma 90.00
loop_
_symmetry_equiv_pos_as_xyz
'x,y,z'
'-x,-y,-z'
'-x,y,-z'
'x,-y,z'
'x+1/2,y+1/2,z'
'-x+1/2,-y+1/2,-z'
'-x+1/2,y+1/2,-z'
'x+1/2,-y+1/2,z'
loop_
_atom_site_label
_atom_site_type_symbol
_atom_site_fract_x
_atom_site_fract_y
_atom_site_fract_z
Ce1 Ce 0.085 0.000 0.367
Ce2 Ce 0.090 0.500 0.683
Ce3 Ce 0.214 0.500 0.105
In1 In 0.000 0.000 0.000
Co1 Co 0.246 0.500 0.388
```

Calculated values
As for the density of states at the Fermi level: 2.097 states/eV per atom. The formation energy comes out at -20.2 kJ/mol of atoms. For the total energy, the calculation gives -6.05 eV/atom.